# 1
Si6Hg7 | PBE | optimized geometry

Lattice parameters (Å, degrees): 8.1005 8.1005 18.7977 90.00 90.00 120.00
Space group R-3m (No. 166, hexagonal axes)
One atom of each set of equivalent atoms:
1 Si 0.0000 0.0000 0.0568 [6 per cell]
2 Si 0.0000 0.0000 0.1830 [6 per cell]
3 Si 0.0000 0.0000 0.3608 [6 per cell]
4 Hg 0.0000 0.0000 0.5000 [3 per cell]
5 Hg 0.0208 0.5104 0.9183 [18 per cell]

Calculated values
* raw formation energy: 545.1 meV/atom

***

# 2
SiHg2 | PBE | optimized geometry

Lattice parameters (Å, degrees): 8.775 3.439 9.709 90.00 90.00 90.00
Space group Pnma (No. 62)
One atom of each set of equivalent atoms:
1 Si 0.245 0.250 0.219 [4 per cell]
2 Hg 0.001 0.250 0.723 [4 per cell]
3 Hg 0.208 0.750 0.988 [4 per cell]

Calculated values
* relative energy among the computed polymorphs: 190 meV per atom
* raw formation energy: 366.6 meV/atom

***

# 3
SiHg2 | PBE | optimized geometry

Lattice parameters (Å, degrees): 3.074 18.775 4.832 90.00 90.00 90.00
Space group Cmcm (No. 63)
One atom of each set of equivalent atoms:
1 Si 0.000 0.082 0.250 [4 per cell]
2 Hg 0.000 0.288 0.750 [4 per cell]
3 Hg 0.000 0.432 0.250 [4 per cell]

Calculated values
* relative energy among the computed polymorphs: 218 meV per atom
* raw formation energy: 394.3 meV/atom

***

# 4
SiHg3 | PBE | optimized geometry

Lattice parameters (Å, degrees): 3.939 8.376 5.868 90.00 90.00 90.00
Space group Imm2 (No. 44)
One atom of each set of equivalent atoms:
1 Si 0.000 0.000 0.000 [2 per cell]
2 Hg 0.000 0.297 0.273 [4 per cell]
3 Hg 0.000 0.500 0.840 [2 per cell]

Calculated values
* relative energy among the computed polymorphs: 154 meV per atom
* raw formation energy: 329.3 meV/atom